10
Lattice="-1.6031 -3.4867 1.3924 -0.7060 -1.2070 -3.8355 14.7286 -6.9776 -0.5153" Properties=species:S:1:pos:R:3 comment="PBE ThAgBi2N, relaxed" mass_density_g_cm3=9.43 formation_energy_uncorrected_ev_per_atom=-0.617 energy_ev_per_atom=-5.888 pbc="T T T"
Th 7.6013 -5.7242 0.4022
Th 5.9727 -3.6003 -2.1390
Ag 0.8879 -2.5437 0.6371
Ag 12.6861 -6.7807 -2.3739
Bi 10.1704 -5.5890 -2.2859
Bi 0.6032 -1.0565 -1.9512
Bi 12.9707 -8.2679 0.2144
Bi 3.4036 -3.7355 0.5491
N 7.3643 -3.4888 -0.2576
N 6.2097 -5.8357 -1.4792